[1]
## MnZnAu2 (PBE-GGA)

Data for MnZnAu2 after structural relaxation.

a b c (Å): 2.8202 4.8125 10.6619
angles (deg): 90.00 90.00 90.00
With the nearest neighbours (Å) after each atom.
Atoms (fractional coordinates):
Mn  0.0000  0.0000  0.0000  2 Au 2.66, 4 Zn 2.79, 2 Mn 2.82
Mn  0.5000  0.5000  0.5000  2 Au 2.66, 4 Zn 2.79, 2 Mn 2.82
Zn  0.0000  0.0000  0.5000  2 Au 2.67, 4 Mn 2.79, 2 Zn 2.82
Zn  0.5000  0.5000  0.0000  2 Au 2.67, 4 Mn 2.79, 2 Zn 2.82
Au  0.0000  0.0000  0.2496  1 Mn 2.66, 1 Zn 2.67, 6 Au 2.79-2.82
Au  0.0000  0.0000  0.7504  1 Mn 2.66, 1 Zn 2.67, 6 Au 2.79-2.82
Au  0.5000  0.5000  0.2504  1 Mn 2.66, 1 Zn 2.67, 6 Au 2.79-2.82
Au  0.5000  0.5000  0.7496  1 Mn 2.66, 1 Zn 2.67, 6 Au 2.79-2.82

## Properties
Density of states at the Fermi level: 3.0 states/eV per cell
Magnetic moment: 7.6 Bohr magnetons per cell
E_form: 0.22 eV/atom

[2]
## Al2InTc (PBE-GGA)

Data for Al2InTc after structural relaxation.

a b c (Å): 3.0237 3.0237 26.7473
angles (deg): 90.00 90.00 120.00
With the nearest neighbours (Å) after each atom.
Atoms (fractional coordinates):
Al  0.0000  0.0000  0.0000  3 Tc 2.57, 3 Al 2.87
Al  0.0000  0.0000  0.2481  9 Al 2.87-3.02, 3 In 3.06
Al  0.3333  0.6667  0.6667  3 Tc 2.57, 3 Al 2.87
Al  0.3333  0.6667  0.9147  9 Al 2.87-3.02, 3 In 3.06
Al  0.6667  0.3333  0.3333  3 Tc 2.57, 3 Al 2.87
Al  0.6667  0.3333  0.5814  9 Al 2.87-3.02, 3 In 3.06
In  0.0000  0.0000  0.4876  3 Tc 2.84, 6 In 3.02, 3 Al 3.06
In  0.3333  0.6667  0.1543  3 Tc 2.84, 6 In 3.02, 3 Al 3.06
In  0.6667  0.3333  0.8209  3 Tc 2.84, 6 In 3.02, 3 Al 3.06
Tc  0.0000  0.0000  0.7374  3 Al 2.57, 3 In 2.84
Tc  0.3333  0.6667  0.4040  3 Al 2.57, 3 In 2.84
Tc  0.6667  0.3333  0.0707  3 Al 2.57, 3 In 2.84

## Properties
Density of states at the Fermi level: 5.6 states/eV per cell
Magnetic moment: 0.0 Bohr magnetons per cell
E_form: 0.11 eV/atom

[3]
## RbCo2SnCl8 (PBE-GGA)

Data for RbCo2SnCl8 after structural relaxation.

a b c (Å): 10.3378 10.3378 10.3378
angles (deg): 36.95 36.95 36.95
With the nearest neighbours (Å) after each atom.
Atoms (fractional coordinates):
Rb  0.0000  0.0000  0.0000  12 Cl 3.79-3.80
Co  0.2499  0.2499  0.2499  4 Cl 2.18-2.23
Co  0.7501  0.7501  0.7501  4 Cl 2.18-2.23
Sn  0.5000  0.5000  0.5000  6 Cl 2.84
Cl  0.0898  0.7895  0.4460  1 Co 2.23
Cl  0.2105  0.5540  0.9102  1 Co 2.23
Cl  0.3253  0.3253  0.3253  1 Co 2.18
Cl  0.4460  0.0898  0.7895  1 Co 2.23
Cl  0.5540  0.9102  0.2105  1 Co 2.23
Cl  0.6747  0.6747  0.6747  1 Co 2.18
Cl  0.7895  0.4460  0.0898  1 Co 2.23
Cl  0.9102  0.2105  0.5540  1 Co 2.23

## Properties
Density of states at the Fermi level: 10.6 states/eV per cell
ΔE_f (raw): -0.9168 eV/atom
Magnetic moment: 7.0 Bohr magnetons per cell

[4]
## NaTi3Ni (PBE-GGA)

Data for NaTi3Ni after structural relaxation.

a b c (Å): 4.6779 4.6779 4.6779
angles (deg): 90.00 90.00 90.00
With the nearest neighbours (Å) after each atom.
Atoms (fractional coordinates):
Na  0.0000  0.0000  0.0000  12 Ti 3.31
Ti  0.0000  0.5000  0.5000  2 Ni 2.34
Ti  0.5000  0.0000  0.5000  2 Ni 2.34
Ti  0.5000  0.5000  0.0000  2 Ni 2.34
Ni  0.5000  0.5000  0.5000  6 Ti 2.34

## Properties
Excess energy over the best structure of this formula in the dataset: 0.0000 eV/atom
Density of states at the Fermi level: 6.3 states/eV per cell
Magnetic moment: 2.2 Bohr magnetons per cell
E_form: 0.55 eV/atom